Arrangement i

# PBE-GGA Nd2YPd3, optimized geometry
# - magnetization (μB/f.u.) = 0.00
data_Nd2YPd3
_cell_length_a 5.106
_cell_length_b 15.496
_cell_length_c 3.507
_cell_angle_alpha 90.00
_cell_angle_beta 90.00
_cell_angle_gamma 90.00
_symmetry_space_group_name_H-M 'C m m m'
_symmetry_Int_Tables_number 65
_symmetry_space_group_name_Hall '-C 2 2'
loop_
_atom_site_label
_atom_site_type_symbol
_atom_site_fract_x
_atom_site_fract_y
_atom_site_fract_z
_atom_site_occupancy
Nd1 Nd 0.000 0.166 0.000 1
Y1 Y 0.000 0.500 0.000 1
Pd1 Pd 0.000 0.000 0.500 1
Pd2 Pd 0.000 0.343 0.500 1

Arrangement ii

# PBE-GGA Nd2YPd3, optimized geometry
# - magnetization (μB/f.u.) = 0.00
data_Nd2YPd3
_cell_length_a 13.167
_cell_length_b 5.905
_cell_length_c 8.355
_cell_angle_alpha 90.00
_cell_angle_beta 108.53
_cell_angle_gamma 90.00
_symmetry_space_group_name_H-M 'C 1 2/c 1'
_symmetry_Int_Tables_number 15
loop_
_symmetry_equiv_pos_as_xyz
'x,y,z'
'-x,-y,-z'
'-x,y,-z+1/2'
'x,-y,z+1/2'
'x+1/2,y+1/2,z'
'-x+1/2,-y+1/2,-z'
'-x+1/2,y+1/2,-z+1/2'
'x+1/2,-y+1/2,z+1/2'
loop_
_atom_site_label
_atom_site_type_symbol
_atom_site_fract_x
_atom_site_fract_y
_atom_site_fract_z
_atom_site_occupancy
Nd1 Nd 0.167 0.002 0.084 1
Y1 Y 0.000 0.491 0.250 1
Pd1 Pd 0.000 0.009 0.750 1
Pd2 Pd 0.161 0.498 0.581 1

Which one is most stable, and which one is least stable? arrangement i is the most stable of them, while arrangement ii is the least stable.

Arrangement i

# PBE-GGA NdY2Pd2, optimized geometry
# - magnetization (μB/f.u.) = 0.00
data_NdY2Pd2
_cell_length_a 7.948
_cell_length_b 7.948
_cell_length_c 3.931
_cell_angle_alpha 90.00
_cell_angle_beta 90.00
_cell_angle_gamma 90.00
_symmetry_space_group_name_H-M 'P 4/m b m'
_symmetry_Int_Tables_number 127
_symmetry_space_group_name_Hall '-P 4 2ab'
loop_
_atom_site_label
_atom_site_type_symbol
_atom_site_fract_x
_atom_site_fract_y
_atom_site_fract_z
_atom_site_occupancy
Nd1 Nd 0.000 0.000 0.000 1
Y1 Y 0.163 0.337 0.500 1
Pd1 Pd 0.130 0.630 0.000 1

Arrangement ii

# PBE-GGA NdY2Pd2, optimized geometry
# - magnetization (μB/f.u.) = 0.00
data_NdY2Pd2
_cell_length_a 5.458
_cell_length_b 4.733
_cell_length_c 10.499
_cell_angle_alpha 90.00
_cell_angle_beta 99.52
_cell_angle_gamma 90.00
_symmetry_space_group_name_H-M 'P 1 21/m 1'
_symmetry_Int_Tables_number 11
loop_
_symmetry_equiv_pos_as_xyz
'x,y,z'
'-x,-y,-z'
'-x,y+1/2,-z'
'x,-y+1/2,z'
loop_
_atom_site_label
_atom_site_type_symbol
_atom_site_fract_x
_atom_site_fract_y
_atom_site_fract_z
_atom_site_occupancy
Nd1 Nd 0.074 0.250 0.281 1
Y1 Y 0.258 0.250 0.970 1
Y2 Y 0.394 0.250 0.618 1
Pd1 Pd 0.146 0.750 0.474 1
Pd2 Pd 0.268 0.750 0.134 1

Which one is most stable, and which one is least stable? arrangement i is the most stable of them, while arrangement ii is the least stable.